K3Cd5Br12 | Alexandria | PBE | optimized geometry; theoretical density = 3807 kg/m³; volume = 2858.0 Å³/cell; VASP energy = -2.47 eV per atom; total magnetization = 0.00 μB per cell; space group = No. 230
1.0
-8.9399 8.9399 8.9399
8.9399 -8.9399 8.9399
8.9399 8.9399 -8.9399
K Cd Br
12 20 48
Direct
0.1250 0.2500 0.3750
0.1250 0.3750 0.7500
0.2500 0.3750 0.1250
0.2500 0.8750 0.6250
0.3750 0.1250 0.2500
0.3750 0.7500 0.1250
0.6250 0.2500 0.8750
0.6250 0.8750 0.7500
0.7500 0.1250 0.3750
0.7500 0.6250 0.8750
0.8750 0.6250 0.2500
0.8750 0.7500 0.6250
0.0000 0.0000 0.0000
0.0000 0.0000 0.5000
0.0000 0.5000 0.0000
0.0000 0.5000 0.5000
0.1250 0.7500 0.8750
0.1250 0.8750 0.2500
0.2500 0.1250 0.8750
0.2500 0.6250 0.3750
0.3750 0.2500 0.6250
0.3750 0.6250 0.7500
0.5000 0.0000 0.0000
0.5000 0.0000 0.5000
0.5000 0.5000 0.0000
0.5000 0.5000 0.5000
0.6250 0.3750 0.2500
0.6250 0.7500 0.3750
0.7500 0.3750 0.6250
0.7500 0.8750 0.1250
0.8750 0.1250 0.7500
0.8750 0.2500 0.1250
0.0251 0.2035 0.1176
0.0251 0.3216 0.9075
0.0859 0.7035 0.6784
0.0859 0.8824 0.4075
0.0925 0.6176 0.4141
0.0925 0.9749 0.6784
0.1176 0.0251 0.2035
0.1176 0.5925 0.9141
0.1784 0.2035 0.5859
0.1784 0.4749 0.5925
0.2035 0.1176 0.0251
0.2035 0.5859 0.1784
0.2965 0.3216 0.9141
0.2965 0.4749 0.3824
0.3216 0.9075 0.0251
0.3216 0.9141 0.2965
0.3824 0.2965 0.4749
0.3824 0.5859 0.9075
0.4075 0.0859 0.8824
0.4075 0.8216 0.5251
0.4141 0.0925 0.6176
0.4141 0.8216 0.7965
0.4749 0.3824 0.2965
0.4749 0.5925 0.1784
0.5251 0.4075 0.8216
0.5251 0.6176 0.7035
0.5859 0.1784 0.2035
0.5859 0.9075 0.3824
0.5925 0.1784 0.4749
0.5925 0.9141 0.1176
0.6176 0.4141 0.0925
0.6176 0.7035 0.5251
0.6784 0.0859 0.7035
0.6784 0.0925 0.9749
0.7035 0.5251 0.6176
0.7035 0.6784 0.0859
0.7965 0.4141 0.8216
0.7965 0.8824 0.9749
0.8216 0.5251 0.4075
0.8216 0.7965 0.4141
0.8824 0.4075 0.0859
0.8824 0.9749 0.7965
0.9075 0.0251 0.3216
0.9075 0.3824 0.5859
0.9141 0.1176 0.5925
0.9141 0.2965 0.3216
0.9749 0.6784 0.0925
0.9749 0.7965 0.8824